# Rb4Pr3MnO8 PBE+U optimized geometry
# VASP energy, eV/atom: -6.280
# Size of the total moment, μB/f.u.: 4.1
data_Rb4Pr3MnO8
_space_group_name_H-M_alt 'C 1 2/m 1'
_space_group_IT_number 12
_cell_length_a 12.871
_cell_length_b 7.049
_cell_length_c 7.707
_cell_angle_alpha 90.00
_cell_angle_beta 120.50
_cell_angle_gamma 90.00
loop_
_space_group_symop_operation_xyz
'x,y,z'
'-x,-y,-z'
'-x,y,-z'
'x,-y,z'
'x+1/2,y+1/2,z'
'-x+1/2,-y+1/2,-z'
'-x+1/2,y+1/2,-z'
'x+1/2,-y+1/2,z'
loop_
_atom_site_label
_atom_site_type_symbol
_atom_site_fract_x
_atom_site_fract_y
_atom_site_fract_z
_atom_site_occupancy
Rb1 Rb 0.000 0.000 0.000 1
Rb2 Rb 0.000 0.500 0.000 1
Rb3 Rb 0.250 0.250 0.000 1
Pr1 Pr 0.000 0.000 0.500 1
Pr2 Pr 0.250 0.250 0.500 1
Mn1 Mn 0.000 0.500 0.500 1
O1 O 0.025 0.289 0.343 1
O2 O 0.218 0.000 0.683 1
O3 O 0.235 0.000 0.283 1